A plane-wave DFT calculation with PBE was carried out for a relaxed ZrBeRuI2 crystal.

Cell lengths 5.430, 5.430, 4.912 Å; angles 90.00, 90.00, 90.00 degrees
Fractional positions:
Zr  0.000  0.000  0.000
Be  0.500  0.500  0.000
Ru  0.000  0.000  0.500
I  0.000  0.500  0.500
I  0.500  0.000  0.500

**Energy relative to the lowest polymorph listed for this composition**: 0.000 eV/atom
**Size of the total moment**: 0.72 μB/f.u.
**Density of states at the Fermi level**: 4.335 states/eV/cell
**ΔE_f (raw)**: 4.785 eV/f.u.
**Space-group type**: P4/mmm (123)
**Total DFT energy (no corrections)**: -19.9 eV per formula unit